Run one
A relaxed CaHfS2Cl crystal. Source: the Alexandria database, functional PBE-GGA.

Output
total moment = 0.96 μB/cell
crystal system = tetragonal
space-group type = P4/mmm (123)
volume = 25.6 Å³ per atom

Unit cell a=5.161 b=5.161 c=4.813 alpha=90.00 beta=90.00 gamma=90.00
Atoms (fractional coordinates):
Ca 0.000 0.000 0.000
Hf 0.500 0.500 0.500
S 0.000 0.500 0.000
S 0.500 0.000 0.000
Cl 0.000 0.000 0.500

***

Run two
A relaxed CaHfS2Cl crystal. Source: the Alexandria database, functional PBE-GGA.

Output
total moment = 0.00 μB/cell
crystal system = tetragonal
space-group type = P4/mmm (123)
volume = 24.0 Å³ per atom

Unit cell a=4.975 b=4.975 c=4.859 alpha=90.00 beta=90.00 gamma=90.00
Atoms (fractional coordinates):
Ca 0.000 0.000 0.000
Hf 0.500 0.500 0.500
S 0.000 0.500 0.500
S 0.500 0.000 0.500
Cl 0.500 0.500 0.000

***

Verdict on stability: run one comes out at the bottom.

***

Run one
A relaxed CaHgCl4 crystal. Source: the Alexandria database, functional PBE-GGA.

Output
total moment = 0.00 μB/cell
crystal system = monoclinic
space-group type = C2/c (15)
volume = 30.5 Å³ per atom

Unit cell a=9.644 b=9.644 c=6.340 alpha=106.10 beta=106.10 gamma=127.36
Atoms (fractional coordinates):
Ca 0.182 0.818 0.750
Ca 0.818 0.182 0.250
Hg 0.394 0.606 0.250
Hg 0.606 0.394 0.750
Cl 0.098 0.501 0.792
Cl 0.154 0.287 0.230
Cl 0.287 0.154 0.730
Cl 0.499 0.902 0.708
Cl 0.501 0.098 0.292
Cl 0.713 0.846 0.270
Cl 0.846 0.713 0.770
Cl 0.902 0.499 0.208

***

Run two
A relaxed CaHgCl4 crystal. Source: the Alexandria database, functional PBE-GGA.

Output
total moment = 2.03 μB/cell
crystal system = cubic
space-group type = F-43m (216)
volume = 26.0 Å³ per atom

Unit cell a=6.042 b=6.042 c=6.042 alpha=60.00 beta=60.00 gamma=60.00
Atoms (fractional coordinates):
Ca 0.000 0.000 0.000
Hg 0.250 0.250 0.250
Cl 0.124 0.625 0.625
Cl 0.625 0.124 0.625
Cl 0.625 0.625 0.124
Cl 0.625 0.625 0.625

***

Verdict on stability: run two comes out at the bottom.